Entry 1:
# Mn2AlAs | Alexandria via LeMat-Bulk | GGA-PBE | relaxed
data_Mn2AlAs
_chemical_formula_sum 'Mn2 Al1 As1'
_space_group_name_H-M_alt 'P 1 2/m 1'
_space_group_IT_number 10
_space_group_name_Hall '-P 2y'
_cell_length_a 2.821
_cell_length_b 3.562
_cell_length_c 5.482
_cell_angle_alpha 90.00
_cell_angle_beta 97.44
_cell_angle_gamma 90.00
loop_
_atom_site_label
_atom_site_fract_x
_atom_site_fract_y
_atom_site_fract_z
_atom_site_occupancy
Mn1 0.048 0.000 0.251 1
Al1 0.500 0.500 0.000 1
As1 0.500 0.500 0.500 1
# Energy relative to the elements (eV per atom): -0.0389
# V (Å³/f.u.): 54.63
# DFT total energy (eV for the cell shown): -26.887
# Fermi-level density of states (states/eV per cell): 2.93
# Energy relative to the lowest polymorph listed for this composition (eV/atom): 0.048

=====

Entry 2:
# MnAlAs4 | Alexandria via LeMat-Bulk | GGA-PBE | relaxed
data_MnAlAs4
_chemical_formula_sum 'Mn4 Al4 As16'
_space_group_name_H-M_alt 'F -4 3 m'
_space_group_IT_number 216
_space_group_name_Hall 'F -4 2 3'
_cell_length_a 7.848
_cell_length_b 7.848
_cell_length_c 7.848
_cell_angle_alpha 90.00
_cell_angle_beta 90.00
_cell_angle_gamma 90.00
loop_
_atom_site_label
_atom_site_fract_x
_atom_site_fract_y
_atom_site_fract_z
_atom_site_occupancy
Mn1 0.000 0.000 0.000 1
Al1 0.250 0.250 0.750 1
As1 0.125 0.125 0.375 1
# Energy relative to the elements (eV per atom): 0.5226
# V (Å³/f.u.): 120.85
# DFT total energy (eV for the cell shown): -113.498
# Fermi-level density of states (states/eV per cell): 10.90

=====

Entry 3:
# MnAl2As | Alexandria via LeMat-Bulk | GGA-PBE | relaxed
data_MnAl2As
_chemical_formula_sum 'Mn2 Al4 As2'
_space_group_name_H-M_alt 'C m m m'
_space_group_IT_number 65
_space_group_name_Hall '-C 2 2'
_cell_length_a 5.205
_cell_length_b 7.455
_cell_length_c 3.212
_cell_angle_alpha 90.00
_cell_angle_beta 90.00
_cell_angle_gamma 90.00
loop_
_atom_site_label
_atom_site_fract_x
_atom_site_fract_y
_atom_site_fract_z
_atom_site_occupancy
Mn1 0.000 0.000 0.000 1
Al1 0.250 0.250 0.500 1
As1 0.000 0.500 0.000 1
# Energy relative to the elements (eV per atom): 0.0299
# V (Å³/f.u.): 62.31
# DFT total energy (eV for the cell shown): -42.369
# Fermi-level density of states (states/eV per cell): 4.83

=====

Entry 4:
# Mn2AlAs | Alexandria via LeMat-Bulk | GGA-PBE | relaxed
data_Mn2AlAs
_chemical_formula_sum 'Mn6 Al3 As3'
_space_group_name_H-M_alt 'R -3 m'
_space_group_IT_number 166
_space_group_name_Hall '-R 3 2"'
_cell_length_a 2.8269
_cell_length_b 2.8269
_cell_length_c 24.0892
_cell_angle_alpha 90.00
_cell_angle_beta 90.00
_cell_angle_gamma 120.00
loop_
_atom_site_label
_atom_site_fract_x
_atom_site_fract_y
_atom_site_fract_z
_atom_site_occupancy
Mn1 0.0000 0.0000 0.2476 1
Al1 0.0000 0.0000 0.0000 1
As1 0.0000 0.0000 0.5000 1
# Energy relative to the elements (eV per atom): 0.0443
# V (Å³/f.u.): 55.57
# DFT total energy (eV for the cell shown): -79.662
# Fermi-level density of states (states/eV per cell): 12.33
# Energy relative to the lowest polymorph listed for this composition (eV/atom): 0.131

=====

Entry 5:
# MnAl3As | Alexandria via LeMat-Bulk | GGA-PBE | relaxed
data_MnAl3As
_chemical_formula_sum 'Mn1 Al3 As1'
_space_group_name_H-M_alt 'P m -3 m'
_space_group_IT_number 221
_space_group_name_Hall '-P 4 2 3'
_cell_length_a 4.628
_cell_length_b 4.628
_cell_length_c 4.628
_cell_angle_alpha 90.00
_cell_angle_beta 90.00
_cell_angle_gamma 90.00
loop_
_atom_site_label
_atom_site_fract_x
_atom_site_fract_y
_atom_site_fract_z
_atom_site_occupancy
Mn1 0.000 0.000 0.000 1
Al1 0.000 0.000 0.500 1
As1 0.500 0.500 0.500 1
# Energy relative to the elements (eV per atom): 0.4786
# V (Å³/f.u.): 99.10
# DFT total energy (eV for the cell shown): -22.654
# Fermi-level density of states (states/eV per cell): 4.12
# Energy relative to the lowest polymorph listed for this composition (eV/atom): 0.000

=====

Entry 6:
# MnAl2As | Alexandria via LeMat-Bulk | GGA-PBE | relaxed
data_MnAl2As
_chemical_formula_sum 'Mn2 Al4 As2'
_space_group_name_H-M_alt 'I m m 2'
_space_group_IT_number 44
_space_group_name_Hall 'I 2 -2'
_cell_length_a 2.709
_cell_length_b 4.246
_cell_length_c 11.455
_cell_angle_alpha 90.00
_cell_angle_beta 90.00
_cell_angle_gamma 90.00
loop_
_atom_site_label
_atom_site_fract_x
_atom_site_fract_y
_atom_site_fract_z
_atom_site_occupancy
Mn1 0.000 0.000 0.000 1
Al1 0.000 0.000 0.491 1
Al2 0.000 0.500 0.313 1
As1 0.000 0.500 0.685 1
# Energy relative to the elements (eV per atom): -0.0800
# V (Å³/f.u.): 65.89
# DFT total energy (eV for the cell shown): -43.248
# Fermi-level density of states (states/eV per cell): 4.50

=====

Entry 7:
# Mn2AlAs | Alexandria via LeMat-Bulk | GGA-PBE | relaxed
data_Mn2AlAs
_chemical_formula_sum 'Mn6 Al3 As3'
_space_group_name_H-M_alt 'R 3 m'
_space_group_IT_number 160
_space_group_name_Hall 'R 3 -2"'
_cell_length_a 2.8771
_cell_length_b 2.8771
_cell_length_c 24.2007
_cell_angle_alpha 90.00
_cell_angle_beta 90.00
_cell_angle_gamma 120.00
loop_
_atom_site_label
_atom_site_fract_x
_atom_site_fract_y
_atom_site_fract_z
_atom_site_occupancy
Mn1 0.0000 0.0000 0.0000 1
Mn2 0.0000 0.0000 0.2553 1
Al1 0.0000 0.0000 0.7471 1
As1 0.0000 0.0000 0.5081 1
# Energy relative to the elements (eV per atom): 0.0841
# V (Å³/f.u.): 57.83
# DFT total energy (eV for the cell shown): -79.185
# Fermi-level density of states (states/eV per cell): 3.34
# Energy relative to the lowest polymorph listed for this composition (eV/atom): 0.171

=====

Entry 8:
# Mn2AlAs | Alexandria via LeMat-Bulk | GGA-PBE | relaxed
data_Mn2AlAs
_chemical_formula_sum 'Mn8 Al4 As4'
_space_group_name_H-M_alt 'F -4 3 m'
_space_group_IT_number 216
_space_group_name_Hall 'F -4 2 3'
_cell_length_a 5.991
_cell_length_b 5.991
_cell_length_c 5.991
_cell_angle_alpha 90.00
_cell_angle_beta 90.00
_cell_angle_gamma 90.00
loop_
_atom_site_label
_atom_site_fract_x
_atom_site_fract_y
_atom_site_fract_z
_atom_site_occupancy
Mn1 0.000 0.000 0.000 1
Mn2 0.250 0.250 0.250 1
Al1 0.250 0.250 0.750 1
As1 0.000 0.000 0.500 1
# Energy relative to the elements (eV per atom): 0.1808
# V (Å³/f.u.): 53.76
# DFT total energy (eV for the cell shown): -104.032
# Fermi-level density of states (states/eV per cell): 16.23
# Energy relative to the lowest polymorph listed for this composition (eV/atom): 0.268

=====

Entry 9:
# MnAl2As | Alexandria via LeMat-Bulk | GGA-PBE | relaxed
data_MnAl2As
_chemical_formula_sum 'Mn4 Al8 As4'
_space_group_name_H-M_alt 'F -4 3 m'
_space_group_IT_number 216
_space_group_name_Hall 'F -4 2 3'
_cell_length_a 6.381
_cell_length_b 6.381
_cell_length_c 6.381
_cell_angle_alpha 90.00
_cell_angle_beta 90.00
_cell_angle_gamma 90.00
loop_
_atom_site_label
_atom_site_fract_x
_atom_site_fract_y
_atom_site_fract_z
_atom_site_occupancy
Mn1 0.000 0.000 0.000 1
Al1 0.000 0.000 0.500 1
Al2 0.250 0.250 0.250 1
As1 0.250 0.250 0.750 1
# Energy relative to the elements (eV per atom): 0.2179
# V (Å³/f.u.): 64.95
# DFT total energy (eV for the cell shown): -81.730
# Fermi-level density of states (states/eV per cell): 11.33

=====

Entry 10:
# MnAl2As | Alexandria via LeMat-Bulk | GGA-PBE | relaxed
data_MnAl2As
_chemical_formula_sum 'Mn1 Al2 As1'
_space_group_name_H-M_alt 'P 4/m m m'
_space_group_IT_number 123
_space_group_name_Hall '-P 4 2'
_cell_length_a 4.184
_cell_length_b 4.184
_cell_length_c 3.552
_cell_angle_alpha 90.00
_cell_angle_beta 90.00
_cell_angle_gamma 90.00
loop_
_atom_site_label
_atom_site_fract_x
_atom_site_fract_y
_atom_site_fract_z
_atom_site_occupancy
Mn1 0.000 0.000 0.000 1
Al1 0.000 0.500 0.500 1
As1 0.500 0.500 0.000 1
# Energy relative to the elements (eV per atom): 0.0475
# V (Å³/f.u.): 62.17
# DFT total energy (eV for the cell shown): -21.114
# Fermi-level density of states (states/eV per cell): 2.51

=====

Entry 11:
# MnAl2As | Alexandria via LeMat-Bulk | GGA-PBE | relaxed
data_MnAl2As
_chemical_formula_sum 'Mn3 Al6 As3'
_space_group_name_H-M_alt 'R -3 m'
_space_group_IT_number 166
_space_group_name_Hall '-R 3 2"'
_cell_length_a 2.9245
_cell_length_b 2.9245
_cell_length_c 25.4504
_cell_angle_alpha 90.00
_cell_angle_beta 90.00
_cell_angle_gamma 120.00
loop_
_atom_site_label
_atom_site_fract_x
_atom_site_fract_y
_atom_site_fract_z
_atom_site_occupancy
Mn1 0.0000 0.0000 0.0000 1
Al1 0.0000 0.0000 0.2578 1
As1 0.0000 0.0000 0.5000 1
# Energy relative to the elements (eV per atom): 0.0190
# V (Å³/f.u.): 62.84
# DFT total energy (eV for the cell shown): -63.684
# Fermi-level density of states (states/eV per cell): 5.89

=====

Entry 12:
# MnAl2As | Alexandria via LeMat-Bulk | GGA-PBE | relaxed
data_MnAl2As
_chemical_formula_sum 'Mn4 Al8 As4'
_space_group_name_H-M_alt 'I -4 2 d'
_space_group_IT_number 122
_space_group_name_Hall 'I -4 2bw'
_cell_length_a 7.141
_cell_length_b 7.141
_cell_length_c 5.118
_cell_angle_alpha 90.00
_cell_angle_beta 90.00
_cell_angle_gamma 90.00
loop_
_atom_site_label
_atom_site_fract_x
_atom_site_fract_y
_atom_site_fract_z
_atom_site_occupancy
Mn1 0.000 0.000 0.000 1
Al1 0.247 0.250 0.125 1
As1 0.000 0.000 0.500 1
# Energy relative to the elements (eV per atom): 0.4408
# V (Å³/f.u.): 65.24
# DFT total energy (eV for the cell shown): -78.164
# Fermi-level density of states (states/eV per cell): 19.38